The following is a GGA-PBE calculation of CdCuAuF6 after structural relaxation, from Alexandria.

## Properties
- Total energy: -65.12 eV for the cell shown
- E_form (uncorrected): -1.4491 eV/atom

Lattice parameters (Å, degrees): 5.6127 5.6127 9.4932 90.00 90.00 120.00
Sites, in units of the cell vectors:
1 F 0.3637 0.3283 0.3665
2 Cd 0.3333 0.6667 0.2500
3 F 0.0353 0.3637 0.6335
4 Au 0.0000 0.0000 0.5000
5 Cd 0.6667 0.3333 0.7500
6 F 0.9647 0.6363 0.3665
7 Au 0.0000 0.0000 0.0000
8 F 0.0353 0.6717 0.8665
9 Cu 0.6667 0.3333 0.2500
10 F 0.6717 0.6363 0.1335
11 F 0.3283 0.3637 0.8665
12 F 0.3637 0.0353 0.1335
13 F 0.3283 0.9647 0.6335
14 F 0.9647 0.3283 0.1335
15 F 0.6717 0.0353 0.3665
16 F 0.6363 0.6717 0.6335
17 F 0.6363 0.9647 0.8665
18 Cu 0.3333 0.6667 0.7500